1.
DFT (PBE) results for Bi14Mo5 after structural relaxation.

Unit cell a=29.4886 b=4.8823 c=7.4223 alpha=90.00 beta=102.31 gamma=90.00
Closest atoms and distances in Å follow each position.
Space group C2/m (No. 12)
Inequivalent atoms, fractional coordinates:
Bi1 0.0204 0.0000 0.2364  4 Mo 2.99-3.01
Bi2 0.0563 0.5000 0.7195  4 Mo 2.93-3.16, 2 Bi 3.26
Bi3 0.0987 0.5000 0.1839  4 Mo 2.94-3.10
Bi4 0.1236 0.0000 0.6497  3 Mo 2.85-3.16
Bi5 0.1745 0.0000 0.1549  3 Mo 2.85-3.04
Bi6 0.1937 0.5000 0.5656  1 Mo 2.85
Bi7 0.2387 0.0000 0.8401  3 Mo 3.10-3.40, 6 Bi 3.27-3.39
Mo1 0.0000 0.5000 0.0000  8 Bi 2.93-2.99
Mo2 0.0801 0.0000 0.9582  8 Bi 2.85-3.01
Mo3 0.1633 0.5000 0.9046  8 Bi 2.85-3.16

Computed properties:
Mass density: 10.83 g cm⁻³
Crystal system: monoclinic
Formation energy from the elements: 0.339 eV/atom

2.
DFT (PBE) results for BiMo after structural relaxation.

Unit cell a=3.3726 b=12.0850 c=7.2332 alpha=90.00 beta=90.00 gamma=90.00
Closest atoms and distances in Å follow each position.
Space group Amm2 (No. 38)
Inequivalent atoms, fractional coordinates:
Bi1 0.0000 0.0000 0.0000  4 Mo 2.90-2.91
Bi2 0.5000 0.1667 0.3857  5 Mo 2.87-2.93
Mo1 0.0000 0.1699 0.7170  2 Mo 2.68, 5 Bi 2.87-2.93
Mo2 0.5000 0.0000 0.6718  4 Mo 2.68, 4 Bi 2.89-2.91

Computed properties:
Mass density: 10.31 g cm⁻³
Crystal system: orthorhombic
Formation energy from the elements: 0.580 eV/atom

Number 1: magnetization 0.0 μB per formula unit. Number 2: magnetization 0.0 μB per formula unit.